[1]
First-principles (GGA-PBE) data for a geometry-optimized Mg3NiSn structure, as listed in Alexandria.

Lattice parameters (Å, degrees): 6.544 6.544 6.590 106.56 116.70 105.09
Fractional coordinates of all 10 atoms:
1 Mg 0.858 0.031 0.272
2 Mg 0.241 0.414 0.272
3 Mg 0.759 0.586 0.728
4 Mg 0.708 0.454 0.161
5 Mg 0.142 0.969 0.728
6 Mg 0.292 0.546 0.839
7 Ni 0.630 0.767 0.397
8 Ni 0.370 0.233 0.603
9 Sn 0.707 0.083 0.790
10 Sn 0.293 0.917 0.210

Properties
DFT formation energy ... -0.1062 eV per atom
Offset from the most stable computed form ... 13.2 meV/atom


[2]
First-principles (GGA-PBE) data for a geometry-optimized PmIn2Au4 structure, as listed in Alexandria.

Lattice parameters (Å, degrees): 5.737 5.844 5.844 76.06 60.60 60.60
Fractional coordinates of all 7 atoms:
1 In 0.750 0.500 0.500
2 In 0.250 0.500 0.500
3 Au 0.697 0.000 0.606
4 Au 0.303 0.000 0.394
5 Au 0.303 0.394 0.000
6 Au 0.697 0.606 0.000
7 Pm 0.000 0.000 0.000

Properties
DFT formation energy ... -0.4457 eV per atom


[3]
First-principles (GGA-PBE) data for a geometry-optimized La3Pr6DyY2 structure, as listed in Alexandria.

Lattice parameters (Å, degrees): 6.397 6.397 12.170 95.03 95.03 120.05
Fractional coordinates of all 12 atoms:
1 La 0.167 0.833 0.500
2 La 0.833 0.167 0.500
3 La 0.500 0.500 0.500
4 Pr 0.918 0.586 0.756
5 Pr 0.749 0.749 0.245
6 Pr 0.082 0.414 0.244
7 Pr 0.586 0.918 0.756
8 Pr 0.251 0.251 0.755
9 Pr 0.414 0.082 0.244
10 Dy 0.000 0.000 0.000
11 Y 0.333 0.667 0.000
12 Y 0.667 0.333 0.000

Properties
DFT formation energy ... 0.0152 eV per atom


[4]
First-principles (GGA-PBE) data for a geometry-optimized TeRh2Pb structure, as listed in Alexandria.

Lattice parameters (Å, degrees): 4.763 4.763 4.763 60.00 60.00 60.00
Fractional coordinates of all 4 atoms:
1 Pb 0.500 0.500 0.500
2 Te 0.000 0.000 0.000
3 Rh 0.250 0.250 0.250
4 Rh 0.750 0.750 0.750

Properties
Offset from the most stable computed form ... 306.5 meV/atom
Raw formation energy ... 72 meV per atom


[5]
First-principles (GGA-PBE) data for a geometry-optimized LaPmNd2Sm5 structure, as listed in Alexandria.

Lattice parameters (Å, degrees): 8.879 8.879 10.138 115.97 115.97 90.00
Fractional coordinates of all 18 atoms:
1 La 0.250 0.250 0.500
2 La 0.750 0.750 0.500
3 Pm 0.250 0.750 0.500
4 Pm 0.750 0.250 0.500
5 Nd 0.118 0.382 0.000
6 Nd 0.618 0.118 0.000
7 Nd 0.382 0.882 0.000
8 Nd 0.882 0.618 0.000
9 Sm 0.930 0.430 0.274
10 Sm 0.656 0.156 0.726
11 Sm 0.070 0.570 0.726
12 Sm 0.156 0.070 0.726
13 Sm 0.570 0.656 0.726
14 Sm 0.844 0.930 0.274
15 Sm 0.430 0.344 0.274
16 Sm 0.344 0.844 0.274
17 Sm 0.500 0.500 0.000
18 Sm 0.000 0.000 0.000

Properties
DFT formation energy ... 0.2454 eV per atom


[6]
First-principles (GGA-PBE) data for a geometry-optimized Ce2DyBe2Pt7 structure, as listed in Alexandria.

Lattice parameters (Å, degrees): 4.038 4.038 13.307 83.77 83.77 89.47
Fractional coordinates of all 12 atoms:
1 Ce 0.887 0.887 0.348
2 Ce 0.113 0.113 0.652
3 Dy 0.000 0.000 0.000
4 Be 0.590 0.590 0.749
5 Be 0.410 0.410 0.251
6 Pt 0.500 0.500 0.000
7 Pt 0.361 0.361 0.425
8 Pt 0.639 0.639 0.575
9 Pt 0.941 0.442 0.166
10 Pt 0.442 0.941 0.166
11 Pt 0.558 0.059 0.834
12 Pt 0.059 0.558 0.834

Properties
DFT formation energy ... -1.0023 eV per atom


[7]
First-principles (GGA-PBE) data for a geometry-optimized Sc5TaCo6 structure, as listed in Alexandria.

Lattice parameters (Å, degrees): 4.409 6.225 7.643 65.97 73.19 90.00
Fractional coordinates of all 12 atoms:
1 Sc 0.669 0.169 0.662
2 Sc 0.334 0.334 0.332
3 Sc 0.000 0.500 0.000
4 Sc 0.666 0.666 0.668
5 Sc 0.331 0.831 0.338
6 Co 0.840 0.599 0.319
7 Co 0.840 0.081 0.319
8 Co 0.500 0.768 0.000
9 Co 0.500 0.232 0.000
10 Co 0.160 0.919 0.681
11 Co 0.160 0.401 0.681
12 Ta 0.000 0.000 0.000

Properties
DFT formation energy ... -0.3514 eV per atom


[8]
First-principles (GGA-PBE) data for a geometry-optimized Tl4GaPb4 structure, as listed in Alexandria.

Lattice parameters (Å, degrees): 4.848 7.859 7.859 84.54 72.04 72.04
Fractional coordinates of all 9 atoms:
1 Tl 0.500 0.173 0.327
2 Tl 0.500 0.827 0.673
3 Tl 0.173 0.827 0.327
4 Tl 0.827 0.173 0.673
5 Ga 0.500 0.500 0.000
6 Pb 0.161 0.178 0.000
7 Pb 0.839 0.822 0.000
8 Pb 0.839 0.500 0.322
9 Pb 0.161 0.500 0.678

Properties
DFT formation energy ... 0.0209 eV per atom


[9]
First-principles (GGA-PBE) data for a geometry-optimized TcTePdN2 structure, as listed in Alexandria.

Lattice parameters (Å, degrees): 3.822 3.822 5.880 90.00 90.00 90.00
Fractional coordinates of all 5 atoms:
1 Te 0.000 0.000 0.500
2 Tc 0.000 0.000 0.000
3 Pd 0.500 0.500 0.500
4 N 0.000 0.500 0.000
5 N 0.500 0.000 0.000

Properties
Offset from the most stable computed form ... 0.0 meV/atom
Raw formation energy ... 558 meV per atom


[10]
First-principles (GGA-PBE) data for a geometry-optimized BaMnNi structure, as listed in Alexandria.

Lattice parameters (Å, degrees): 4.198 4.198 5.012 90.00 90.00 120.00
Fractional coordinates of all 3 atoms:
1 Ba 0.000 0.000 0.000
2 Mn 0.667 0.333 0.500
3 Ni 0.333 0.667 0.500

Properties
DFT formation energy ... 0.3416 eV per atom
Offset from the most stable computed form ... 0.0 meV/atom


[11]
First-principles (GGA-PBE) data for a geometry-optimized La14PmTh structure, as listed in Alexandria.

Lattice parameters (Å, degrees): 7.391 7.391 10.521 90.00 90.00 90.00
Fractional coordinates of all 16 atoms:
1 La 0.375 0.625 0.500
2 La 0.875 0.125 0.500
3 La 0.875 0.625 0.000
4 La 0.875 0.625 0.500
5 La 0.375 0.125 0.000
6 La 0.375 0.125 0.500
7 La 0.619 0.869 0.755
8 La 0.619 0.869 0.245
9 La 0.131 0.381 0.755
10 La 0.131 0.381 0.245
11 La 0.131 0.869 0.755
12 La 0.131 0.869 0.245
13 La 0.619 0.381 0.754
14 La 0.619 0.381 0.246
15 Pm 0.875 0.125 0.000
16 Th 0.375 0.625 0.000

Properties
DFT formation energy ... 0.0132 eV per atom


[12]
First-principles (GGA-PBE) data for a geometry-optimized Y2ZrCl structure, as listed in Alexandria.

Lattice parameters (Å, degrees): 8.706 8.706 6.763 49.94 49.94 90.00
Fractional coordinates of all 8 atoms:
1 Y 0.534 0.125 0.250
2 Y 0.216 0.625 0.250
3 Y 0.375 0.466 0.750
4 Y 0.875 0.784 0.750
5 Zr 0.000 0.000 0.000
6 Zr 0.750 0.250 0.500
7 Cl 0.500 0.500 0.000
8 Cl 0.250 0.750 0.500

Properties
Offset from the most stable computed form ... 454.0 meV/atom
Raw formation energy ... -164 meV per atom